VASP calculation (GGA-PBE) on a relaxed MnBe2Br crystal.

```
data_MnBe2Br
_chemical_formula_sum 'Mn1 Be2 Br1'
_cell_length_a 3.044
_cell_length_b 3.044
_cell_length_c 5.698
_cell_angle_alpha 90.00
_cell_angle_beta 90.00
_cell_angle_gamma 90.00
_space_group_name_H-M_alt 'P 1'
_space_group_IT_number 1
_space_group_name_Hall 'P 1'
loop_
_atom_site_label
_atom_site_type_symbol
_atom_site_fract_x
_atom_site_fract_y
_atom_site_fract_z
_atom_site_occupancy
Mn1 Mn 0.000 0.000 0.000 1
Be1 Be 0.500 0.500 0.175 1
Be2 Be 0.500 0.500 0.825 1
Br1 Br 0.000 0.000 0.500 1
```

Output
The formation energy from raw total energies is 413.5 meV per atom. Its total magnetization is 1.6 μB/cell. The calculation puts the volume at 53 Å³/cell. For the polymorph energy (0 for the lowest one), the calculation gives 227 meV per atom. As for the crystal system: tetragonal. Its total energy is -0.3058 Ry/atom. The symmetry is P4/mmm (123). The value obtained for the calculated density is 4.81 g cm⁻³.